Entry from the Alexandria database: TbTlGe2I8 after structural relaxation (PBE-GGA).

Output
Raw total energy: -3.059 eV per atom
Formation energy from raw total energies: -8.08 eV per formula unit

abc: 7.1935 7.7191 9.5675
angles: 85.81 87.41 86.83
Atoms (fractional coordinates):
Tb 0.0000 0.0000 0.0000
Tl 0.0000 0.0000 0.5000
Ge 0.4634 0.4643 0.7449
Ge 0.5366 0.5357 0.2551
I 0.2393 0.3238 0.9773
I 0.2465 0.8279 0.7789
I 0.2587 0.8425 0.2266
I 0.2753 0.3593 0.5280
I 0.7247 0.6407 0.4720
I 0.7413 0.1575 0.7734
I 0.7535 0.1721 0.2211
I 0.7607 0.6762 0.0227

=====

Entry from the Alexandria database: TbTlGeI6 after structural relaxation (PBE-GGA).

Output
Raw total energy: -3.196 eV per atom
Formation energy from raw total energies: -7.85 eV per formula unit

abc: 7.8208 7.8208 7.6948
angles: 90.00 90.00 120.00
Atoms (fractional coordinates):
Tb 0.0000 0.0000 0.0000
Tl 0.3333 0.6667 0.5000
Ge 0.6667 0.3333 0.0000
I 0.3359 0.0334 0.2268
I 0.3359 0.3025 0.7732
I 0.6975 0.0334 0.7732
I 0.6975 0.6641 0.2268
I 0.9666 0.3025 0.2268
I 0.9666 0.6641 0.7732

=====

Entry from the Alexandria database: Tc3GeI after structural relaxation (PBE-GGA).

Output
Raw total energy: -5.962 eV per atom
Formation energy from raw total energies: 7.45 eV per formula unit

abc: 4.6525 4.6525 4.6525
angles: 90.00 90.00 90.00
Atoms (fractional coordinates):
Tc 0.0000 0.0000 0.5000
Tc 0.0000 0.5000 0.0000
Tc 0.5000 0.0000 0.0000
Ge 0.0000 0.0000 0.0000
I 0.5000 0.5000 0.5000

=====

Entry from the Alexandria database: TcGe2I after structural relaxation (PBE-GGA).

Output
Raw total energy: -4.234 eV per atom
Formation energy from raw total energies: 4.22 eV per formula unit

abc: 4.8004 4.8004 4.8004
angles: 60.00 60.00 60.00
Atoms (fractional coordinates):
Tc 0.0000 0.0000 0.0000
Ge 0.2500 0.2500 0.2500
Ge 0.7500 0.7500 0.7500
I 0.5000 0.5000 0.5000

=====

Entry from the Alexandria database: TcGeI2 after structural relaxation (PBE-GGA).

Output
Raw total energy: -3.587 eV per atom
Formation energy from raw total energies: 3.74 eV per formula unit

abc: 5.0264 5.0264 5.0264
angles: 60.00 60.00 60.00
Atoms (fractional coordinates):
Tc 0.0000 0.0000 0.0000
Ge 0.5000 0.5000 0.5000
I 0.2500 0.2500 0.2500
I 0.7500 0.7500 0.7500

=====

Entry from the Alexandria database: Tc3GeI after structural relaxation (PBE-GGA).

Output
Raw total energy: -5.390 eV per atom
Formation energy from raw total energies: 10.31 eV per formula unit

abc: 4.8528 4.8528 4.8528
angles: 90.00 90.00 90.00
Atoms (fractional coordinates):
Tc 0.0000 0.0000 0.5000
Tc 0.0000 0.5000 0.0000
Tc 0.5000 0.0000 0.0000
Ge 0.5000 0.5000 0.5000
I 0.0000 0.0000 0.0000

=====

Entry from the Alexandria database: TcGe2I8 after structural relaxation (PBE-GGA).

Output
Raw total energy: -3.058 eV per atom
Formation energy from raw total energies: -1.63 eV per formula unit

abc: 8.2963 8.2963 7.7979
angles: 99.51 99.51 89.84
Atoms (fractional coordinates):
Tc 0.0000 0.0000 0.0000
Ge 0.1567 0.1567 0.5762
Ge 0.8433 0.8433 0.4238
I 0.0996 0.7678 0.2070
I 0.2212 0.2212 0.2126
I 0.2322 0.9004 0.7930
I 0.3777 0.3777 0.7412
I 0.6223 0.6223 0.2588
I 0.7678 0.0996 0.2070
I 0.7788 0.7788 0.7874
I 0.9004 0.2322 0.7930

=====

Entry from the Alexandria database: TcGe2I after structural relaxation (PBE-GGA).

Output
Raw total energy: -4.745 eV per atom
Formation energy from raw total energies: 2.17 eV per formula unit

abc: 7.5740 7.5740 7.5740
angles: 131.43 131.43 71.13
Atoms (fractional coordinates):
Tc 0.0000 0.0000 0.0000
Tc 0.7500 0.2500 0.5000
Ge 0.0220 0.6250 0.8970
Ge 0.3750 0.2720 0.3970
Ge 0.7280 0.1250 0.1030
Ge 0.8750 0.9780 0.6030
I 0.2500 0.7500 0.5000
I 0.5000 0.5000 0.0000

=====

Entry from the Alexandria database: TcGe3I after structural relaxation (PBE-GGA).

Output
Raw total energy: -5.120 eV per atom
Formation energy from raw total energies: 0.17 eV per formula unit

abc: 4.9136 4.9136 4.9136
angles: 90.00 90.00 90.00
Atoms (fractional coordinates):
Tc 0.0000 0.0000 0.0000
Ge 0.0000 0.0000 0.5000
Ge 0.0000 0.5000 0.0000
Ge 0.5000 0.0000 0.0000
I 0.5000 0.5000 0.5000

=====

Entry from the Alexandria database: TcGeTeI2 after structural relaxation (PBE-GGA).

Output
Raw total energy: -3.273 eV per atom
Formation energy from raw total energies: 4.86 eV per formula unit

abc: 5.6228 5.6228 5.5893
angles: 90.00 90.00 90.00
Atoms (fractional coordinates):
Tc 0.0000 0.0000 0.0000
Ge 0.5000 0.5000 0.5000
Te 0.5000 0.5000 0.0000
I 0.0000 0.5000 0.5000
I 0.5000 0.0000 0.5000

=====

Entry from the Alexandria database: TcGeTeI2 after structural relaxation (PBE-GGA).

Output
Raw total energy: -3.590 eV per atom
Formation energy from raw total energies: 3.28 eV per formula unit

abc: 5.5180 5.5180 5.1197
angles: 90.00 90.00 90.00
Atoms (fractional coordinates):
Tc 0.0000 0.0000 0.0000
Ge 0.5000 0.5000 0.5000
Te 0.0000 0.0000 0.5000
I 0.0000 0.5000 0.0000
I 0.5000 0.0000 0.0000

=====

Entry from the Alexandria database: TcGeTe2I after structural relaxation (PBE-GGA).

Output
Raw total energy: -3.515 eV per atom
Formation energy from raw total energies: 5.24 eV per formula unit

abc: 5.4357 5.4357 5.5846
angles: 90.00 90.00 90.00
Atoms (fractional coordinates):
Tc 0.0000 0.0000 0.0000
Ge 0.5000 0.5000 0.5000
Te 0.0000 0.5000 0.5000
Te 0.5000 0.0000 0.5000
I 0.5000 0.5000 0.0000